VASP calculation (PBE-GGA) on a relaxed Pu6GePd5 crystal.

Magnetic moment, μB/f.u.: 33.21
SG: No. 12
Crystal system: monoclinic
Calculated volume, Å³ per cell: 259
Fermi-level density of states, states/eV/cell: 45.32
Energy of formation, meV/atom: -409

```
Pu6GePd5
1.0
0.8155 -4.7314 -1.4816
3.3664 1.4205 7.8084
-8.1738 0.9329 -0.9166
Pd Pu Ge
5 6 1
Direct
0.4015 0.1664 0.8338 Pd
0.0870 0.3352 0.6648 Pd
0.5985 0.8336 0.1662 Pd
0.5000 0.5000 0.5000 Pd
0.9130 0.6648 0.3352 Pd
0.6774 0.9172 0.5828 Pu
0.7473 0.2471 0.2472 Pu
0.8224 0.5827 0.9171 Pu
0.3226 0.0828 0.4172 Pu
0.1776 0.4173 0.0829 Pu
0.2527 0.7529 0.7528 Pu
0.0000 0.0000 0.0000 Ge
```

=====

VASP calculation (PBE-GGA) on a relaxed PuGe3Pd10 crystal.

Magnetic moment, μB/f.u.: 4.91
SG: No. 225
Crystal system: cubic
Calculated volume, Å³ per cell: 486
Fermi-level density of states, states/eV/cell: 41.97
Energy of formation, meV/atom: -444

```
PuGe3Pd10
1.0
7.6438 0.0000 4.4132
2.5479 7.2067 4.4132
0.0000 0.0000 8.8263
Ge Pd Pu
6 20 2
Direct
0.7349 0.7349 0.2651 Ge
0.7349 0.2651 0.2651 Ge
0.7349 0.2651 0.7349 Ge
0.2651 0.7349 0.2651 Ge
0.2651 0.2651 0.7349 Ge
0.2651 0.7349 0.7349 Ge
0.3477 0.0000 0.0000 Pd
0.3824 0.3824 0.8529 Pd
0.3477 0.0000 0.6523 Pd
0.1471 0.6176 0.6176 Pd
0.0000 0.0000 0.6523 Pd
0.0000 0.3477 0.0000 Pd
0.6523 0.0000 0.3477 Pd
0.6523 0.3477 0.0000 Pd
0.0000 0.6523 0.3477 Pd
0.6176 0.6176 0.6176 Pd
0.0000 0.0000 0.3477 Pd
0.3477 0.6523 0.0000 Pd
0.3824 0.3824 0.3824 Pd
0.3824 0.8529 0.3824 Pd
0.6176 0.6176 0.1471 Pd
0.6176 0.1471 0.6176 Pd
0.0000 0.6523 0.0000 Pd
0.6523 0.0000 0.0000 Pd
0.8529 0.3824 0.3824 Pd
0.0000 0.3477 0.6523 Pd
0.7500 0.7500 0.7500 Pu
0.2500 0.2500 0.2500 Pu
```

=====

VASP calculation (PBE-GGA) on a relaxed PuGePd crystal.

Magnetic moment, μB/f.u.: 1.66
SG: No. 11
Crystal system: monoclinic
Calculated volume, Å³ per cell: 357
Fermi-level density of states, states/eV/cell: 56.42
Energy of formation, meV/atom: -611

```
PuGePd
1.0
4.2995 0.0000 0.0000
0.0000 6.9680 -0.0496
0.0000 -0.1078 11.9091
Ge Pu Pd
6 6 6
Direct
0.2500 0.7775 0.9047 Ge
0.7500 0.7921 0.5703 Ge
0.2500 0.2079 0.4297 Ge
0.7500 0.2225 0.0953 Ge
0.2500 0.7074 0.2395 Ge
0.7500 0.2926 0.7605 Ge
0.2500 0.4967 0.6285 Pu
0.2500 0.3502 0.9341 Pu
0.7500 0.6498 0.0659 Pu
0.2500 0.0067 0.7007 Pu
0.7500 0.9933 0.2993 Pu
0.7500 0.5033 0.3715 Pu
0.2500 0.9832 0.0889 Pd
0.7500 0.0168 0.9111 Pd
0.2500 0.8220 0.4518 Pd
0.7500 0.1780 0.5482 Pd
0.7500 0.6618 0.7896 Pd
0.2500 0.3382 0.2104 Pd
```

=====

VASP calculation (PBE-GGA) on a relaxed PuGe6Pd12 crystal.

Magnetic moment, μB/f.u.: 5.84
SG: No. 166
Crystal system: trigonal
Calculated volume, Å³ per cell: 328
Fermi-level density of states, states/eV/cell: 25.43
Energy of formation, meV/atom: -435

```
PuGe6Pd12
1.0
-3.1794 3.7160 -5.3433
-4.1543 -5.8404 1.0489
-0.8114 4.0589 5.9443
Ge Pd Pu
6 12 1
Direct
0.2552 0.2552 0.6951 Ge
0.3049 0.7448 0.7448 Ge
0.2552 0.6951 0.2552 Ge
0.6951 0.2552 0.2552 Ge
0.7448 0.3049 0.7448 Ge
0.7448 0.7448 0.3049 Ge
0.1229 0.5000 0.8771 Pd
0.8771 0.5000 0.1229 Pd
0.1667 0.4228 0.4228 Pd
0.8333 0.5772 0.5772 Pd
0.4228 0.1667 0.4228 Pd
0.1229 0.8771 0.5000 Pd
0.5000 0.1229 0.8771 Pd
0.5772 0.5772 0.8333 Pd
0.8771 0.1229 0.5000 Pd
0.4228 0.4228 0.1667 Pd
0.5000 0.8771 0.1229 Pd
0.5772 0.8333 0.5772 Pd
0.0000 0.0000 0.0000 Pu
```

=====

VASP calculation (PBE-GGA) on a relaxed Pu3GePd crystal.

Magnetic moment, μB/f.u.: 7.14
SG: No. 12
Crystal system: monoclinic
Calculated volume, Å³ per cell: 216
Fermi-level density of states, states/eV/cell: 32.11
Energy of formation, meV/atom: -268

```
Pu3GePd
1.0
-0.2604 -3.0838 2.8322
6.9093 0.9661 -1.4191
2.0511 4.9547 5.5832
Pd Pu Ge
2 6 2
Direct
0.8237 0.6806 0.7611 Pd
0.2201 0.4734 0.6605 Pd
0.0402 0.1133 0.4514 Pu
0.0038 0.0407 0.9702 Pu
0.2738 0.5807 0.0359 Pu
0.5876 0.2084 0.7958 Pu
0.7702 0.5735 0.3857 Pu
0.4562 0.9456 0.6257 Pu
0.6174 0.2679 0.1582 Ge
0.4268 0.8862 0.2633 Ge
```

=====

VASP calculation (PBE-GGA) on a relaxed Pu5Ge2Pd crystal.

Magnetic moment, μB/f.u.: 5.28
SG: No. 1
Crystal system: triclinic
Calculated volume, Å³ per cell: 169
Fermi-level density of states, states/eV/cell: 26.94
Energy of formation, meV/atom: -279

```
Pu5Ge2Pd
1.0
7.0219 -0.2238 0.1566
-0.2111 7.5321 -0.2046
-3.3437 -3.7392 3.2274
Ge Pu Pd
2 5 1
Direct
0.6430 0.2303 0.3931 Ge
0.2255 0.7743 0.5398 Ge
0.7254 0.1960 0.9092 Pu
0.7323 0.6131 0.3710 Pu
0.2432 0.3121 0.9760 Pu
0.2193 0.6768 0.9545 Pu
0.7553 0.7854 0.0579 Pu
0.2330 0.1891 0.3525 Pd
```

=====

VASP calculation (PBE-GGA) on a relaxed Pu2GePd6 crystal.

Magnetic moment, μB/f.u.: 10.36
SG: No. 164
Crystal system: trigonal
Calculated volume, Å³ per cell: 166
Fermi-level density of states, states/eV/cell: 27.97
Energy of formation, meV/atom: -540

```
Pu2GePd6
1.0
-3.6102 -4.4756 -1.2031
0.0792 -1.5417 5.5031
-3.8644 2.1444 3.6243
Pd Pu Ge
6 2 1
Direct
0.6895 0.1727 0.6546 Pd
0.3104 0.8273 0.8273 Pd
0.3105 0.3454 0.8273 Pd
0.3105 0.8273 0.3454 Pd
0.6896 0.1727 0.1727 Pd
0.6895 0.6546 0.1727 Pd
0.8289 0.6666 0.6666 Pu
0.1711 0.3334 0.3334 Pu
0.0000 0.0000 0.0000 Ge
```

=====

VASP calculation (PBE-GGA) on a relaxed Pu3GePd2 crystal.

Magnetic moment, μB/f.u.: 0.93
SG: No. 12
Crystal system: monoclinic
Calculated volume, Å³ per cell: 226
Fermi-level density of states, states/eV/cell: 18.65
Energy of formation, meV/atom: -224

```
Pu3GePd2
1.0
3.4165 0.0000 0.0000
0.0000 8.4220 -1.5929
-1.7083 -3.4032 8.5004
Ge Pu Pd
2 6 4
Direct
0.5802 0.8979 0.1604 Ge
0.4198 0.1021 0.8396 Ge
0.0790 0.6116 0.1580 Pu
0.9210 0.3884 0.8420 Pu
0.3953 0.5550 0.7905 Pu
0.7545 0.9128 0.5089 Pu
0.6047 0.4450 0.2095 Pu
0.2455 0.0872 0.4911 Pu
0.2656 0.6522 0.5312 Pd
0.0889 0.1278 0.1778 Pd
0.7344 0.3478 0.4688 Pd
0.9111 0.8722 0.8222 Pd
```

=====

VASP calculation (PBE-GGA) on a relaxed Pu5Ge3Pd crystal.

Magnetic moment, μB/f.u.: 27.05
SG: No. 193
Crystal system: hexagonal
Calculated volume, Å³ per cell: 413
Fermi-level density of states, states/eV/cell: 74.31
Energy of formation, meV/atom: -374

```
Pu5Ge3Pd
1.0
-1.6497 -4.6198 -3.3296
2.6695 -5.6161 6.4698
-8.4322 3.0687 -0.0801
Ge Pd Pu
6 2 10
Direct
0.7500 0.3826 0.0000 Ge
0.2500 0.6174 0.0000 Ge
0.7500 0.6174 0.6174 Ge
0.2500 0.0000 0.6174 Ge
0.2500 0.3826 0.3826 Ge
0.7500 0.0000 0.3826 Ge
0.5000 0.0000 0.0000 Pd
0.0000 0.0000 0.0000 Pd
0.5000 0.3333 0.6667 Pu
0.2500 0.2819 0.0000 Pu
0.0000 0.3333 0.6667 Pu
0.7500 0.0000 0.7181 Pu
0.2500 0.7181 0.7181 Pu
0.7500 0.7181 0.0000 Pu
0.7500 0.2819 0.2819 Pu
0.2500 0.0000 0.2819 Pu
0.5000 0.6667 0.3333 Pu
0.0000 0.6667 0.3333 Pu
```

=====

VASP calculation (PBE-GGA) on a relaxed Pu2Ge2Pd crystal.

Magnetic moment, μB/f.u.: 11.11
SG: No. 72
Crystal system: orthorhombic
Calculated volume, Å³ per cell: 230
Fermi-level density of states, states/eV/cell: 34.56
Energy of formation, meV/atom: -307

```
Pu2Ge2Pd
1.0
-4.7978 1.3626 2.6106
-0.3843 -6.3320 2.5988
5.6842 4.2515 2.1576
Pu Ge Pd
4 4 2
Direct
0.3818 0.0272 0.7635 Pu
0.8818 0.7364 0.7635 Pu
0.1182 0.2636 0.2365 Pu
0.6182 0.9728 0.2365 Pu
0.6367 0.4343 0.2733 Ge
0.8633 0.1610 0.7267 Ge
0.1367 0.8390 0.2733 Ge
0.3633 0.5657 0.7267 Ge
0.7500 0.5000 0.0000 Pd
0.2500 0.5000 0.0000 Pd
```

=====

VASP calculation (PBE-GGA) on a relaxed Pu4GePd3 crystal.

Magnetic moment, μB/f.u.: 21.85
SG: No. 229
Crystal system: cubic
Calculated volume, Å³ per cell: 177
Fermi-level density of states, states/eV/cell: 35.10
Energy of formation, meV/atom: -387

```
Pu4GePd3
1.0
5.7711 0.0000 -2.0404
-2.8855 4.9979 -2.0404
0.0000 0.0000 6.1211
Pd Pu Ge
3 4 1
Direct
0.5000 0.0000 0.5000 Pd
0.5000 0.5000 0.0000 Pd
0.0000 0.5000 0.5000 Pd
0.0000 0.0000 0.4999 Pu
0.4999 0.0000 0.0000 Pu
0.5001 0.5001 0.5001 Pu
0.0000 0.4999 0.0000 Pu
0.0000 0.0000 0.0000 Ge
```

=====

VASP calculation (PBE-GGA) on a relaxed Pu2GePd crystal.

Magnetic moment, μB/f.u.: 1.26
SG: No. 123
Crystal system: tetragonal
Calculated volume, Å³ per cell: 66
Fermi-level density of states, states/eV/cell: 6.99
Energy of formation, meV/atom: -40

```
Pu2GePd
1.0
5.1391 0.0000 0.0000
0.0000 3.5888 0.0000
0.0000 0.0000 3.5888
Pd Ge Pu
1 1 2
Direct
0.5000 0.5000 0.5000 Pd
0.5000 0.0000 0.0000 Ge
0.0000 0.0000 0.5000 Pu
0.0000 0.5000 0.0000 Pu
```

=====

VASP calculation (PBE-GGA) on a relaxed Pu3GePd4 crystal.

Magnetic moment, μB/f.u.: 16.26
SG: No. 71
Crystal system: orthorhombic
Calculated volume, Å³ per cell: 184
Fermi-level density of states, states/eV/cell: 37.95
Energy of formation, meV/atom: -320

```
Pu3GePd4
1.0
4.0194 0.0000 0.0000
0.0000 6.5690 0.0000
-2.0097 -3.2845 6.9514
Pd Pu Ge
4 3 1
Direct
0.3765 0.5812 0.7531 Pd
0.6235 0.8282 0.2469 Pd
0.3765 0.1718 0.7531 Pd
0.6235 0.4188 0.2469 Pd
0.8191 0.8191 0.6382 Pu
0.0000 0.5000 0.0000 Pu
0.1809 0.1809 0.3618 Pu
0.5000 0.0000 0.0000 Ge
```

=====

VASP calculation (PBE-GGA) on a relaxed Pu5Ge5Pd2 crystal.

Magnetic moment, μB/f.u.: 4.53
SG: No. 12
Crystal system: monoclinic
Calculated volume, Å³ per cell: 258
Fermi-level density of states, states/eV/cell: 38.70
Energy of formation, meV/atom: -466

```
Pu5Ge5Pd2
1.0
-2.4913 3.2891 -0.8660
-2.0241 -0.7965 -7.4648
-7.7503 -2.5895 2.1991
Pu Pd Ge
5 2 5
Direct
0.5772 0.7274 0.1182 Pu
0.6597 0.9654 0.7151 Pu
0.5000 0.5000 0.5000 Pu
0.4228 0.2726 0.8818 Pu
0.3403 0.0346 0.2849 Pu
0.1517 0.4661 0.2306 Pd
0.8483 0.5339 0.7694 Pd
0.2318 0.7039 0.8325 Ge
0.0000 0.0000 0.0000 Ge
0.7682 0.2961 0.1675 Ge
0.0813 0.2245 0.6129 Ge
0.9187 0.7755 0.3871 Ge
```

=====

VASP calculation (PBE-GGA) on a relaxed Pu4Ge2Pd crystal.

Magnetic moment, μB/f.u.: 23.00
SG: No. 166
Crystal system: trigonal
Calculated volume, Å³ per cell: 168
Fermi-level density of states, states/eV/cell: 24.99
Energy of formation, meV/atom: -226

```
Pu4Ge2Pd
1.0
-2.6869 4.0795 1.2183
-5.0304 -0.1791 -0.0925
-2.6278 -0.9189 7.6837
Pu Pd Ge
4 1 2
Direct
0.7655 0.7655 0.7034 Pu
0.2345 0.2345 0.2966 Pu
0.6083 0.6083 0.1751 Pu
0.3917 0.3917 0.8249 Pu
0.0000 0.0000 0.0000 Pd
0.1092 0.1092 0.6725 Ge
0.8908 0.8908 0.3275 Ge
```

=====

VASP calculation (PBE-GGA) on a relaxed Pu2GePd5 crystal.

Magnetic moment, μB/f.u.: 10.19
SG: No. 1
Crystal system: triclinic
Calculated volume, Å³ per cell: 153
Fermi-level density of states, states/eV/cell: 30.40
Energy of formation, meV/atom: -480

```
Pu2GePd5
1.0
5.8372 -0.0013 0.0044
-0.0015 6.3128 0.0008
-2.9164 -3.1556 4.1548
Pd Pu Ge
5 2 1
Direct
0.2499 0.2683 0.9714 Pd
0.7540 0.7540 0.5079 Pd
0.7227 0.2688 0.9728 Pd
0.2503 0.7041 0.9730 Pd
0.7230 0.7044 0.9738 Pd
0.7317 0.2329 0.4650 Pu
0.2527 0.7516 0.5047 Pu
0.0927 0.0929 0.1855 Ge
```

=====

VASP calculation (PBE-GGA) on a relaxed PuGe3Pd2 crystal.

Magnetic moment, μB/f.u.: 5.50
SG: No. 71
Crystal system: orthorhombic
Calculated volume, Å³ per cell: 223
Fermi-level density of states, states/eV/cell: 21.10
Energy of formation, meV/atom: -446

```
PuGe3Pd2
1.0
-4.1079 -0.2757 -2.0409
-1.3689 -5.9238 3.5554
-0.0454 6.8029 4.3450
Ge Pd Pu
6 4 2
Direct
0.3229 0.1083 0.6458 Ge
0.6772 0.4626 0.3545 Ge
0.0000 0.3294 0.0000 Ge
0.6771 0.8917 0.3542 Ge
0.3228 0.5374 0.6455 Ge
0.0000 0.6706 0.0000 Ge
0.1848 0.6848 0.3695 Pd
0.5001 0.1960 0.0002 Pd
0.8152 0.3152 0.6305 Pd
0.4999 0.8040 0.9998 Pd
0.8631 0.8632 0.7262 Pu
0.1369 0.1368 0.2738 Pu
```

=====

VASP calculation (PBE-GGA) on a relaxed Pu5Ge4Pd2 crystal.

Magnetic moment, μB/f.u.: 5.65
SG: No. 12
Crystal system: monoclinic
Calculated volume, Å³ per cell: 230
Fermi-level density of states, states/eV/cell: 27.31
Energy of formation, meV/atom: -249

```
Pu5Ge4Pd2
1.0
-1.0429 1.4511 -2.4847
0.1516 -6.5355 -3.8803
-8.8653 0.9683 6.1713
Ge Pu Pd
4 5 2
Direct
0.7082 0.7061 0.4164 Ge
0.0138 0.6926 0.0276 Ge
0.9862 0.3074 0.9724 Ge
0.2918 0.2939 0.5836 Ge
0.5000 0.0000 0.0000 Pu
0.8440 0.6845 0.6880 Pu
0.1571 0.9764 0.3141 Pu
0.1560 0.3155 0.3120 Pu
0.8429 0.0236 0.6859 Pu
0.4205 0.4648 0.8409 Pd
0.5795 0.5352 0.1591 Pd
```

=====

VASP calculation (PBE-GGA) on a relaxed Pu3Ge4Pd2 crystal.

Magnetic moment, μB/f.u.: 16.04
SG: No. 12
Crystal system: monoclinic
Calculated volume, Å³ per cell: 185
Fermi-level density of states, states/eV/cell: 28.19
Energy of formation, meV/atom: -544

```
Pu3Ge4Pd2
1.0
-3.8587 0.3992 2.0627
-0.5077 0.7197 -5.7682
0.1899 -8.1920 1.9407
Ge Pd Pu
4 2 3
Direct
0.0857 0.1715 0.4020 Ge
0.2821 0.5642 0.9354 Ge
0.7179 0.4358 0.0646 Ge
0.9143 0.8285 0.5980 Ge
0.6749 0.3497 0.3378 Pd
0.3251 0.6503 0.6622 Pd
0.3752 0.7503 0.3159 Pu
0.6248 0.2497 0.6841 Pu
0.0000 0.0000 0.0000 Pu
```

=====

VASP calculation (PBE-GGA) on a relaxed Pu5GePd2 crystal.

Magnetic moment, μB/f.u.: 17.50
SG: No. 140
Crystal system: tetragonal
Calculated volume, Å³ per cell: 378
Fermi-level density of states, states/eV/cell: 83.51
Energy of formation, meV/atom: -283

```
Pu5GePd2
1.0
-5.1982 1.9042 -5.4840
3.6531 -4.6480 -5.0766
-2.8325 -3.3884 7.0445
Pu Pd Ge
10 4 2
Direct
0.3183 0.8183 0.3089 Pu
0.6817 0.1817 0.6911 Pu
0.0000 0.0000 0.0000 Pu
0.5000 0.5000 0.0000 Pu
0.5093 0.6817 0.6911 Pu
0.8183 0.9907 0.3089 Pu
0.4907 0.3183 0.3089 Pu
0.9907 0.4907 0.3089 Pu
0.0093 0.5093 0.6911 Pu
0.1817 0.0093 0.6911 Pu
0.3701 0.8701 0.0000 Pd
0.6299 0.1299 0.0000 Pd
0.8701 0.6299 0.0000 Pd
0.1299 0.3701 0.0000 Pd
0.7500 0.7500 0.5000 Ge
0.2500 0.2500 0.5000 Ge
```